# 1
This record from Alexandria via LeMat-Bulk describes Cs2BaCoSi after structural relaxation. The functional is PBE.

Unit cell a=7.254 b=7.254 c=4.409 alpha=90.00 beta=90.00 gamma=90.00
Space group P4/mmm (No. 123)
Unique sites:
1 Cs 0.000 0.500 0.000 [2 per cell]
2 Ba 0.000 0.000 0.500 [1 per cell]
3 Co 0.500 0.500 0.500 [1 per cell]
4 Si 0.500 0.500 0.000 [1 per cell]

## Properties
E_form (uncorrected) = 622 meV/atom
density of states at the Fermi level = 11.07 states/eV per cell


# 2
This record from Alexandria via LeMat-Bulk describes CsBaCoTc2 after structural relaxation. The functional is PBE.

Unit cell a=4.659 b=4.659 c=5.906 alpha=90.00 beta=90.00 gamma=90.00
Space group P4/mmm (No. 123)
Unique sites:
1 Cs 0.000 0.000 0.000 [1 per cell]
2 Ba 0.500 0.500 0.000 [1 per cell]
3 Co 0.000 0.000 0.500 [1 per cell]
4 Tc 0.000 0.500 0.500 [2 per cell]

## Properties
ΔE_f = 1.373 eV/atom
density of states at the Fermi level = 5.98 states/eV per cell


# 3
This record from Alexandria via LeMat-Bulk describes BaCoCu2 after structural relaxation. The functional is PBE.

Unit cell a=4.787 b=4.787 c=16.506 alpha=90.00 beta=90.00 gamma=90.00
Space group I4_1/amd (No. 141, origin choice 2)
Unique sites:
1 Ba 0.000 0.250 0.375 [4 per cell]
2 Co 0.000 0.250 0.875 [4 per cell]
3 Cu 0.000 0.000 0.000 [8 per cell]

## Properties
ΔE_f = 0.341 eV/atom
ΔE to the lowest computed polymorph = 193 meV/atom
density of states at the Fermi level = 21.43 states/eV per cell


# 4
This record from Alexandria via LeMat-Bulk describes BaCo2Cu after structural relaxation. The functional is PBE.

Unit cell a=6.546 b=6.546 c=6.546 alpha=90.00 beta=90.00 gamma=90.00
Space group Fm-3m (No. 225)
Unique sites:
1 Ba 0.000 0.000 0.000 [4 per cell]
2 Co 0.250 0.250 0.250 [8 per cell]
3 Cu 0.000 0.000 0.500 [4 per cell]

## Properties
ΔE_f = 0.990 eV/atom
density of states at the Fermi level = 33.76 states/eV per cell


# 5
This record from Alexandria via LeMat-Bulk describes BaCoCu after structural relaxation. The functional is PBE.

Unit cell a=7.441 b=7.441 c=7.441 alpha=90.00 beta=90.00 gamma=90.00
Space group F-43m (No. 216)
Unique sites:
1 Ba 0.000 0.000 0.000 [4 per cell]
2 Co 0.250 0.250 0.750 [4 per cell]
3 Cu 0.250 0.250 0.250 [4 per cell]

## Properties
ΔE_f = 1.201 eV/atom
ΔE to the lowest computed polymorph = 847 meV/atom
density of states at the Fermi level = 0.38 states/eV per cell


# 6
This record from Alexandria via LeMat-Bulk describes BaCoCu2 after structural relaxation. The functional is PBE.

Unit cell a=6.885 b=6.885 c=6.885 alpha=90.00 beta=90.00 gamma=90.00
Space group F-43m (No. 216)
Unique sites:
1 Ba 0.000 0.000 0.000 [4 per cell]
2 Co 0.250 0.250 0.250 [4 per cell]
3 Cu 0.000 0.000 0.500 [4 per cell]
4 Cu 0.250 0.250 0.750 [4 per cell]

## Properties
ΔE_f = 0.770 eV/atom
ΔE to the lowest computed polymorph = 621 meV/atom
density of states at the Fermi level = 36.43 states/eV per cell


# 7
This record from Alexandria via LeMat-Bulk describes BaCoCu2 after structural relaxation. The functional is PBE.

Unit cell a=4.110 b=4.110 c=9.005 alpha=90.00 beta=90.00 gamma=90.00
Space group I4/mmm (No. 139)
Unique sites:
1 Ba 0.000 0.000 0.000 [2 per cell]
2 Co 0.000 0.000 0.500 [2 per cell]
3 Cu 0.000 0.500 0.250 [4 per cell]

## Properties
ΔE_f = 0.711 eV/atom
ΔE to the lowest computed polymorph = 562 meV/atom
density of states at the Fermi level = 10.22 states/eV per cell


# 8
This record from Alexandria via LeMat-Bulk describes BaCoCu3 after structural relaxation. The functional is PBE.

Unit cell a=4.693 b=4.693 c=4.693 alpha=90.00 beta=90.00 gamma=90.00
Space group Pm-3m (No. 221)
Unique sites:
1 Ba 0.000 0.000 0.000 [1 per cell]
2 Co 0.500 0.500 0.500 [1 per cell]
3 Cu 0.000 0.500 0.500 [3 per cell]

## Properties
ΔE_f = 0.376 eV/atom
ΔE to the lowest computed polymorph = 0 meV/atom
density of states at the Fermi level = 7.00 states/eV per cell


# 9
This record from Alexandria via LeMat-Bulk describes BaCo2Cu after structural relaxation. The functional is PBE.

Unit cell a=3.282 b=3.282 c=7.030 alpha=90.00 beta=90.00 gamma=90.00
Space group P4/mmm (No. 123)
Unique sites:
1 Ba 0.000 0.000 0.000 [1 per cell]
2 Co 0.500 0.500 0.346 [2 per cell]
3 Cu 0.000 0.000 0.500 [1 per cell]

## Properties
ΔE_f = 0.622 eV/atom
density of states at the Fermi level = 4.96 states/eV per cell


# 10
This record from Alexandria via LeMat-Bulk describes BaCo2Cu after structural relaxation. The functional is PBE.

Unit cell a=3.184 b=5.039 c=9.304 alpha=90.00 beta=90.00 gamma=90.00
Space group Immm (No. 71)
Unique sites:
1 Ba 0.000 0.000 0.000 [2 per cell]
2 Co 0.000 0.500 0.211 [4 per cell]
3 Cu 0.000 0.000 0.500 [2 per cell]

## Properties
ΔE_f = 0.843 eV/atom
density of states at the Fermi level = 12.61 states/eV per cell


# 11
This record from Alexandria via LeMat-Bulk describes BaCo2Cu after structural relaxation. The functional is PBE.

Unit cell a=4.637 b=4.637 c=16.904 alpha=90.00 beta=90.00 gamma=90.00
Space group I4_1/amd (No. 141, origin choice 2)
Unique sites:
1 Ba 0.000 0.250 0.375 [4 per cell]
2 Co 0.000 0.000 0.000 [8 per cell]
3 Cu 0.000 0.250 0.875 [4 per cell]

## Properties
ΔE_f = 0.491 eV/atom
density of states at the Fermi level = 26.62 states/eV per cell


# 12
This record from Alexandria via LeMat-Bulk describes BaCoCu2 after structural relaxation. The functional is PBE.

Unit cell a=4.239 b=4.239 c=8.694 alpha=90.00 beta=90.00 gamma=90.00
Space group I-4m2 (No. 119)
Unique sites:
1 Ba 0.000 0.000 0.000 [2 per cell]
2 Co 0.000 0.500 0.750 [2 per cell]
3 Cu 0.000 0.000 0.500 [2 per cell]
4 Cu 0.000 0.500 0.250 [2 per cell]

## Properties
ΔE_f = 0.724 eV/atom
ΔE to the lowest computed polymorph = 575 meV/atom
density of states at the Fermi level = 6.29 states/eV per cell